The following is a GGA-PBE calculation of a relaxed structure of Pm7Ga3, from Alexandria via LeMat-Bulk.

Unit cell a=10.4430 b=10.4430 c=6.2875 alpha=90.00 beta=90.00 gamma=120.00
Last column: nearest neighbours and their distance in Å.
Space group P6_3mc (No. 186)
Symmetry-distinct sites (fractional):
Pm1 0.0746 0.5373 0.0000 [6 per cell]  2 Ga 3.10, 2 Pm 3.42
Pm2 0.1222 0.2444 0.7572 [6 per cell]  3 Ga 3.03-3.14
Pm3 0.3333 0.6667 0.5382 [2 per cell]  3 Ga 3.00
Ga1 0.1904 0.3807 0.2972 [6 per cell]  6 Pm 3.00-3.14

Computed properties:
As for the formation energy: -0.327 eV/atom.



The following is a GGA-PBE calculation of a relaxed structure of ScGe3I, from Alexandria via LeMat-Bulk.

Unit cell a=5.3116 b=5.3116 c=5.3116 alpha=90.00 beta=90.00 gamma=90.00
Last column: nearest neighbours and their distance in Å.
Space group Pm-3m (No. 221)
Symmetry-distinct sites (fractional):
Sc1 0.0000 0.0000 0.0000 [1 per cell]  6 Ge 2.66
Ge1 0.0000 0.0000 0.5000 [3 per cell]  2 Sc 2.66
I1 0.5000 0.5000 0.5000 [1 per cell]  12 Ge 3.76

Computed properties:
As for the excess energy over the best structure of this formula in the dataset: 0 meV per atom. For the formation energy without anion corrections, the calculation gives 0.4952 eV per atom.



The following is a GGA-PBE calculation of a relaxed structure of CaBeCuPd2, from Alexandria via LeMat-Bulk.

Unit cell a=4.3701 b=4.3701 c=4.3170 alpha=90.00 beta=90.00 gamma=90.00
Last column: nearest neighbours and their distance in Å.
Space group P4/mmm (No. 123)
Symmetry-distinct sites (fractional):
Ca1 0.0000 0.0000 0.0000 [1 per cell]  8 Pd 3.07, 4 Cu 3.09
Be1 0.5000 0.5000 0.5000 [1 per cell]  2 Cu 2.16, 4 Pd 2.19
Cu1 0.5000 0.5000 0.0000 [1 per cell]  2 Be 2.16
Pd1 0.0000 0.5000 0.5000 [2 per cell]  2 Be 2.19

Computed properties:
As for the formation energy: -0.362 eV/atom.



The following is a GGA-PBE calculation of a relaxed structure of In2ReTc, from Alexandria via LeMat-Bulk.

Unit cell a=4.0827 b=4.0827 c=4.2473 alpha=90.00 beta=90.00 gamma=90.00
Last column: nearest neighbours and their distance in Å.
Space group P4/mmm (No. 123)
Symmetry-distinct sites (fractional):
In1 0.0000 0.5000 0.0000 [2 per cell]  4 In 2.89, 4 Re 2.95, 4 Tc 2.95
Re1 0.0000 0.0000 0.5000 [1 per cell]  4 Tc 2.89, 8 In 2.95
Tc1 0.5000 0.5000 0.5000 [1 per cell]  4 Re 2.89, 8 In 2.95

Computed properties:
As for the excess energy over the best structure of this formula in the dataset: 572 meV per atom. As for the formation energy: 0.694 eV/atom.



How do the records compare in electronic total energy? In the order shown, they have -0.335; -0.283; -0.324; -0.469 Ry/atom.